[1]
Here is a relaxed structure of TaMn3Pb from Alexandria via LeMat-Bulk. Energies are from GGA-PBE.

Calculated values
The calculation puts the total DFT energy (no corrections) at -37.2 eV per formula unit. The value obtained for the polymorph energy (0 for the lowest one) is 0 meV per atom. The value obtained for the formation energy is 1.17 eV/atom.

```
data_TaMn3Pb
_space_group_name_H-M_alt 'P m -3 m'
_space_group_IT_number 221
_space_group_name_Hall '-P 4 2 3'
_cell_length_a 4.7792
_cell_length_b 4.7792
_cell_length_c 4.7792
_cell_angle_alpha 90.00
_cell_angle_beta 90.00
_cell_angle_gamma 90.00
loop_
_atom_site_label
_atom_site_type_symbol
_atom_site_fract_x
_atom_site_fract_y
_atom_site_fract_z
Ta1 Ta 0.0000 0.0000 0.0000
Mn1 Mn 0.0000 0.0000 0.5000
Pb1 Pb 0.5000 0.5000 0.5000
```

---

[2]
Here is a relaxed structure of MnBe2PdPb from Alexandria via LeMat-Bulk. Energies are from GGA-PBE.

Calculated values
The calculation puts the total DFT energy (no corrections) at -19.1 eV per formula unit. The value obtained for the formation energy is 1.29 eV/atom.

```
data_MnBe2PdPb
_space_group_name_H-M_alt 'P 4/m m m'
_space_group_IT_number 123
_space_group_name_Hall '-P 4 2'
_cell_length_a 4.4717
_cell_length_b 4.4717
_cell_length_c 5.1951
_cell_angle_alpha 90.00
_cell_angle_beta 90.00
_cell_angle_gamma 90.00
loop_
_atom_site_label
_atom_site_type_symbol
_atom_site_fract_x
_atom_site_fract_y
_atom_site_fract_z
Mn1 Mn 0.0000 0.0000 0.0000
Be1 Be 0.0000 0.5000 0.5000
Pd1 Pd 0.5000 0.5000 0.0000
Pb1 Pb 0.0000 0.0000 0.5000
```

---

[3]
Here is a relaxed structure of RbSb2Pt2 from Alexandria via LeMat-Bulk. Energies are from GGA-PBE.

Calculated values
The value obtained for the formation energy (no corrections) is -0.16 eV per atom. The calculation puts the total DFT energy (no corrections) at -22.1 eV per formula unit.

```
data_RbSb2Pt2
_space_group_name_H-M_alt 'P 4/m b m'
_space_group_IT_number 127
_space_group_name_Hall '-P 4 2ab'
_cell_length_a 8.6720
_cell_length_b 8.6720
_cell_length_c 3.1937
_cell_angle_alpha 90.00
_cell_angle_beta 90.00
_cell_angle_gamma 90.00
loop_
_atom_site_label
_atom_site_type_symbol
_atom_site_fract_x
_atom_site_fract_y
_atom_site_fract_z
Rb1 Rb 0.0000 0.0000 0.0000
Sb1 Sb 0.1436 0.3564 0.5000
Pt1 Pt 0.1255 0.6255 0.0000
```

---

[4]
Here is a relaxed structure of Ho3Zn2Pb from Alexandria via LeMat-Bulk. Energies are from GGA-PBE.

Calculated values
The calculation puts the total DFT energy (no corrections) at -22.1 eV per formula unit. The value obtained for the formation energy is -0.36 eV/atom.

```
data_Ho3Zn2Pb
_space_group_name_H-M_alt 'C m m m'
_space_group_IT_number 65
_space_group_name_Hall '-C 2 2'
_cell_length_a 5.1296
_cell_length_b 15.3999
_cell_length_c 3.6942
_cell_angle_alpha 90.00
_cell_angle_beta 90.00
_cell_angle_gamma 90.00
loop_
_atom_site_label
_atom_site_type_symbol
_atom_site_fract_x
_atom_site_fract_y
_atom_site_fract_z
Ho1 Ho 0.0000 0.0000 0.0000
Ho2 Ho 0.0000 0.3253 0.0000
Zn1 Zn 0.0000 0.1714 0.5000
Pb1 Pb 0.0000 0.5000 0.5000
```

---

[5]
Here is a relaxed structure of BI3Cl from Alexandria via LeMat-Bulk. Energies are from GGA-PBE.

Calculated values
The value obtained for the formation energy (no corrections) is 0.72 eV per atom. The calculation puts the total DFT energy (no corrections) at -9.6 eV per formula unit. The value obtained for the polymorph energy (0 for the lowest one) is 0 meV per atom.

```
data_BI3Cl
_space_group_name_H-M_alt 'P m -3 m'
_space_group_IT_number 221
_space_group_name_Hall '-P 4 2 3'
_cell_length_a 5.1083
_cell_length_b 5.1083
_cell_length_c 5.1083
_cell_angle_alpha 90.00
_cell_angle_beta 90.00
_cell_angle_gamma 90.00
loop_
_atom_site_label
_atom_site_type_symbol
_atom_site_fract_x
_atom_site_fract_y
_atom_site_fract_z
B1 B 0.0000 0.0000 0.0000
I1 I 0.0000 0.0000 0.5000
Cl1 Cl 0.5000 0.5000 0.5000
```

---

[6]
Here is a relaxed structure of Ba3PPt from Alexandria via LeMat-Bulk. Energies are from GGA-PBE.

Calculated values
The calculation puts the total DFT energy (no corrections) at -21.2 eV per formula unit. The value obtained for the polymorph energy (0 for the lowest one) is 0 meV per atom. The value obtained for the formation energy is -0.79 eV/atom.

```
data_Ba3PPt
_space_group_name_H-M_alt 'P 1 21/c 1'
_space_group_IT_number 14
_space_group_name_Hall '-P 2ybc'
_cell_length_a 9.5099
_cell_length_b 8.4924
_cell_length_c 9.0630
_cell_angle_alpha 90.00
_cell_angle_beta 99.68
_cell_angle_gamma 90.00
loop_
_atom_site_label
_atom_site_type_symbol
_atom_site_fract_x
_atom_site_fract_y
_atom_site_fract_z
Ba1 Ba 0.0696 0.0053 0.2131
Ba2 Ba 0.2938 0.1278 0.5934
Ba3 Ba 0.3687 0.6983 0.4926
P1 P 0.4188 0.0607 0.2702
Pt1 Pt 0.0539 0.6776 0.0152
```

---

[7]
Here is a relaxed structure of PPdI2 from Alexandria via LeMat-Bulk. Energies are from GGA-PBE.

Calculated values
The value obtained for the formation energy (no corrections) is 0.74 eV per atom. The calculation puts the total DFT energy (no corrections) at -10.8 eV per formula unit. The value obtained for the polymorph energy (0 for the lowest one) is 218 meV per atom.

```
data_PPdI2
_space_group_name_H-M_alt 'F m -3 m'
_space_group_IT_number 225
_space_group_name_Hall '-F 4 2 3'
_cell_length_a 7.1696
_cell_length_b 7.1696
_cell_length_c 7.1696
_cell_angle_alpha 90.00
_cell_angle_beta 90.00
_cell_angle_gamma 90.00
loop_
_atom_site_label
_atom_site_type_symbol
_atom_site_fract_x
_atom_site_fract_y
_atom_site_fract_z
P1 P 0.0000 0.0000 0.0000
Pd1 Pd 0.0000 0.0000 0.5000
I1 I 0.2500 0.2500 0.2500
```

---

[8]
Here is a relaxed structure of B5C from Alexandria via LeMat-Bulk. Energies are from GGA-PBE.

Calculated values
The calculation puts the total DFT energy (no corrections) at -40.2 eV per formula unit. The value obtained for the polymorph energy (0 for the lowest one) is 198 meV per atom. The value obtained for the formation energy is 0.39 eV/atom.

```
data_B5C
_space_group_name_H-M_alt 'C 1 2/m 1'
_space_group_IT_number 12
_space_group_name_Hall '-C 2y'
_cell_length_a 8.6385
_cell_length_b 2.3325
_cell_length_c 8.5455
_cell_angle_alpha 90.00
_cell_angle_beta 108.86
_cell_angle_gamma 90.00
loop_
_atom_site_label
_atom_site_type_symbol
_atom_site_fract_x
_atom_site_fract_y
_atom_site_fract_z
B1 B 0.0136 0.0000 0.4018
B2 B 0.0360 0.5000 0.1135
B3 B 0.1077 0.5000 0.7328
B4 B 0.1791 0.0000 0.2465
B5 B 0.1802 0.5000 0.9423
C1 C 0.2087 0.0000 0.4551
```

---

[9]
Here is a relaxed structure of GdTmMg from Alexandria via LeMat-Bulk. Energies are from GGA-PBE.

Calculated values
The calculation puts the total DFT energy (no corrections) at -20.0 eV per formula unit. The value obtained for the polymorph energy (0 for the lowest one) is 91 meV per atom. The value obtained for the formation energy is 0.04 eV/atom.

```
data_GdTmMg
_space_group_name_H-M_alt 'P 3 m 1'
_space_group_IT_number 156
_space_group_name_Hall 'P 3 -2"'
_cell_length_a 5.4302
_cell_length_b 5.4302
_cell_length_c 3.3581
_cell_angle_alpha 90.00
_cell_angle_beta 90.00
_cell_angle_gamma 120.00
loop_
_atom_site_label
_atom_site_type_symbol
_atom_site_fract_x
_atom_site_fract_y
_atom_site_fract_z
Gd1 Gd 0.0000 0.0000 0.0000
Tm1 Tm 0.3333 0.6667 0.5828
Mg1 Mg 0.6667 0.3333 0.3059
```

---

[10]
Here is a relaxed structure of CsCeAg2Br6 from Alexandria via LeMat-Bulk. Energies are from GGA-PBE.

Calculated values
The value obtained for the formation energy (no corrections) is -1.20 eV per atom. The calculation puts the total DFT energy (no corrections) at -34.5 eV per formula unit.

```
data_CsCeAg2Br6
_space_group_name_H-M_alt 'R 3'
_space_group_IT_number 146
_space_group_name_Hall 'R 3'
_cell_length_a 7.6071
_cell_length_b 7.6071
_cell_length_c 20.8072
_cell_angle_alpha 90.00
_cell_angle_beta 90.00
_cell_angle_gamma 120.00
loop_
_atom_site_label
_atom_site_type_symbol
_atom_site_fract_x
_atom_site_fract_y
_atom_site_fract_z
Cs1 Cs 0.0000 0.0000 0.0000
Ce1 Ce 0.0000 0.0000 0.4631
Ag1 Ag 0.0000 0.0000 0.2723
Ag2 Ag 0.0000 0.0000 0.7927
Br1 Br 0.0049 0.5480 0.0366
Br2 Br 0.0151 0.3416 0.8639
```

---

[11]
Here is a relaxed structure of NaMnCuP from Alexandria via LeMat-Bulk. Energies are from GGA-PBE.

Calculated values
The calculation puts the total DFT energy (no corrections) at -20.6 eV per formula unit. The value obtained for the formation energy is -0.16 eV/atom.

```
data_NaMnCuP
_space_group_name_H-M_alt 'P 4/n m m'
_space_group_IT_number 129
_cell_length_a 3.5918
_cell_length_b 3.5918
_cell_length_c 10.9138
_cell_angle_alpha 90.00
_cell_angle_beta 90.00
_cell_angle_gamma 90.00
loop_
_space_group_symop_operation_xyz
'x,y,z'
'-x,-y,-z'
'-y+1/2,x,z'
'y+1/2,-x,-z'
'-x+1/2,-y+1/2,z'
'x+1/2,y+1/2,-z'
'y,-x+1/2,z'
'-y,x+1/2,-z'
'x+1/2,-y,-z'
'-x+1/2,y,z'
'-y,-x,-z'
'y,x,z'
'-x,y+1/2,-z'
'x,-y+1/2,z'
'y+1/2,x+1/2,-z'
'-y+1/2,-x+1/2,z'
loop_
_atom_site_label
_atom_site_type_symbol
_atom_site_fract_x
_atom_site_fract_y
_atom_site_fract_z
Na1 Na 0.2500 0.2500 0.2308
Mn1 Mn 0.2500 0.7500 0.5000
Cu1 Cu 0.2500 0.7500 0.0000
P1 P 0.2500 0.2500 0.6270
```

---

[12]
Here is a relaxed structure of SrAsOs2 from Alexandria via LeMat-Bulk. Energies are from GGA-PBE.

Calculated values
The calculation puts the total DFT energy (no corrections) at -26.1 eV per formula unit. The value obtained for the formation energy is 0.66 eV/atom.

```
data_SrAsOs2
_space_group_name_H-M_alt 'P 4/m m m'
_space_group_IT_number 123
_space_group_name_Hall '-P 4 2'
_cell_length_a 3.0851
_cell_length_b 3.0851
_cell_length_c 7.7863
_cell_angle_alpha 90.00
_cell_angle_beta 90.00
_cell_angle_gamma 90.00
loop_
_atom_site_label
_atom_site_type_symbol
_atom_site_fract_x
_atom_site_fract_y
_atom_site_fract_z
Sr1 Sr 0.0000 0.0000 0.0000
As1 As 0.0000 0.0000 0.5000
Os1 Os 0.5000 0.5000 0.3181
```